(1)
# LiOs PBE optimized geometry
# energy of formation: 0.24 eV/atom
# magnetic moment: 0.000 μB/cell
data_LiOs
_space_group_name_H-M_alt 'P 1'
_space_group_IT_number 1
_space_group_name_Hall 'P 1'
_cell_length_a 4.3046
_cell_length_b 11.9676
_cell_length_c 2.8788
_cell_angle_alpha 90.00
_cell_angle_beta 90.00
_cell_angle_gamma 90.00
loop_
_atom_site_label
_atom_site_type_symbol
_atom_site_fract_x
_atom_site_fract_y
_atom_site_fract_z
Li1 Li 0.0000 0.8566 0.5000
Li2 Li 0.0000 0.1434 0.5000
Li3 Li 0.5000 0.3566 0.5000
Li4 Li 0.5000 0.6434 0.5000
Li5 Li 0.0000 0.0000 0.0000
Li6 Li 0.5000 0.5000 0.0000
Os1 Os 0.0000 0.3160 0.0000
Os2 Os 0.0000 0.6840 0.0000
Os3 Os 0.5000 0.8160 0.0000
Os4 Os 0.5000 0.1840 0.0000
Os5 Os 0.5000 0.0000 0.5000
Os6 Os 0.0000 0.5000 0.5000

***

(2)
# LiOs5 PBE optimized geometry
# energy of formation: 0.27 eV/atom
# ΔE to the lowest computed polymorph: 108 meV per atom
# magnetic moment: 0.000 μB/cell
data_LiOs5
_space_group_name_H-M_alt 'P 1'
_space_group_IT_number 1
_space_group_name_Hall 'P 1'
_cell_length_a 2.7829
_cell_length_b 2.7829
_cell_length_c 10.6015
_cell_angle_alpha 90.00
_cell_angle_beta 90.00
_cell_angle_gamma 90.00
loop_
_atom_site_label
_atom_site_type_symbol
_atom_site_fract_x
_atom_site_fract_y
_atom_site_fract_z
Li1 Li 0.5000 0.5000 0.0000
Os1 Os 0.0000 0.0000 0.8485
Os2 Os 0.0000 0.0000 0.1515
Os3 Os 0.5000 0.5000 0.6843
Os4 Os 0.5000 0.5000 0.3157
Os5 Os 0.0000 0.0000 0.5000

***

(3)
# LiOs PBE optimized geometry
# energy of formation: 0.26 eV/atom
# magnetic moment: 0.000 μB/cell
data_LiOs
_space_group_name_H-M_alt 'P 1'
_space_group_IT_number 1
_space_group_name_Hall 'P 1'
_cell_length_a 4.6083
_cell_length_b 4.6083
_cell_length_c 7.9067
_cell_angle_alpha 64.66
_cell_angle_beta 64.66
_cell_angle_gamma 33.33
loop_
_atom_site_label
_atom_site_type_symbol
_atom_site_fract_x
_atom_site_fract_y
_atom_site_fract_z
Li1 Li 0.3095 0.3095 0.3820
Li2 Li 0.6449 0.6449 0.7038
Li3 Li 0.6288 0.6288 0.2367
Os1 Os 0.9879 0.9879 0.0311
Os2 Os 0.9534 0.9534 0.5816
Os3 Os 0.3088 0.3088 0.8981

***

(4)
# LiOs PBE optimized geometry
# energy of formation: 0.23 eV/atom
# magnetic moment: 0.000 μB/cell
data_LiOs
_space_group_name_H-M_alt 'P 1'
_space_group_IT_number 1
_space_group_name_Hall 'P 1'
_cell_length_a 9.4445
_cell_length_b 9.4445
_cell_length_c 9.4445
_cell_angle_alpha 16.62
_cell_angle_beta 16.62
_cell_angle_gamma 16.62
loop_
_atom_site_label
_atom_site_type_symbol
_atom_site_fract_x
_atom_site_fract_y
_atom_site_fract_z
Li1 Li 0.9953 0.9953 0.9953
Li2 Li 0.7547 0.7547 0.7547
Os1 Os 0.5039 0.5039 0.5039
Os2 Os 0.2461 0.2461 0.2461

***

(5)
# LiOs PBE optimized geometry
# energy of formation: 0.23 eV/atom
# magnetic moment: 0.000 μB/cell
data_LiOs
_space_group_name_H-M_alt 'P 1'
_space_group_IT_number 1
_space_group_name_Hall 'P 1'
_cell_length_a 2.8730
_cell_length_b 2.8730
_cell_length_c 6.9782
_cell_angle_alpha 90.00
_cell_angle_beta 90.00
_cell_angle_gamma 90.00
loop_
_atom_site_label
_atom_site_type_symbol
_atom_site_fract_x
_atom_site_fract_y
_atom_site_fract_z
Li1 Li 0.2500 0.2500 0.1274
Li2 Li 0.7500 0.7500 0.8726
Os1 Os 0.2500 0.2500 0.6103
Os2 Os 0.7500 0.7500 0.3897

***

(6)
# Li4Os5 PBE optimized geometry
# energy of formation: 0.35 eV/atom
# ΔE to the lowest computed polymorph: 0 meV per atom
# magnetic moment: 0.168 μB/cell
data_Li4Os5
_space_group_name_H-M_alt 'P 1'
_space_group_IT_number 1
_space_group_name_Hall 'P 1'
_cell_length_a 6.8450
_cell_length_b 6.8450
_cell_length_c 6.8450
_cell_angle_alpha 92.39
_cell_angle_beta 92.39
_cell_angle_gamma 156.45
loop_
_atom_site_label
_atom_site_type_symbol
_atom_site_fract_x
_atom_site_fract_y
_atom_site_fract_z
Li1 Li 0.3269 0.0000 0.3269
Li2 Li 0.6731 0.0000 0.6731
Li3 Li 0.0000 0.6731 0.6731
Li4 Li 0.0000 0.3269 0.3269
Os1 Os 0.0000 0.0000 0.0000
Os2 Os 0.3303 0.6697 0.0000
Os3 Os 0.6697 0.3303 0.0000
Os4 Os 0.6697 0.6697 0.3394
Os5 Os 0.3303 0.3303 0.6606